## i
Compound: W3Se
Source: Alexandria via LeMat-Bulk
Functional: PBE-GGA
Structure: optimized geometry

Summary:
Total moment, μB per cell: 0.0

a = 4.5943 Å, b = 4.5943 Å, c = 3.0637 Å
α = 90.00°, β = 90.00°, γ = 90.00°
Last column: nearest neighbours and their distance in Å.
Element x y z (fractional)
Se 0.0000 0.0000 0.0000  8 W 2.76, 2 Se 3.06
W 0.0000 0.5000 0.5000  4 Se 2.76, 6 W 2.76-3.06
W 0.5000 0.0000 0.5000  6 W 2.76-3.06, 4 Se 2.76
W 0.5000 0.5000 0.0000  10 W 2.76-3.06

## ii
Compound: W3Se
Source: Alexandria via LeMat-Bulk
Functional: PBE-GGA
Structure: optimized geometry

Summary:
Total moment, μB per cell: 0.0

a = 5.1989 Å, b = 5.1989 Å, c = 5.1989 Å
α = 116.63°, β = 116.63°, γ = 116.63°
Last column: nearest neighbours and their distance in Å.
Element x y z (fractional)
Se 0.0000 0.0000 0.0000  6 W 2.73, 2 Se 2.90
W 0.0000 0.5000 0.5000  6 W 2.73-2.90, 2 Se 2.73
W 0.5000 0.0000 0.5000  2 Se 2.73, 6 W 2.73-2.90
W 0.5000 0.5000 0.0000  6 W 2.73-2.90, 2 Se 2.73

The structure with the least stability is ii.

## i
Compound: W3Se
Source: Alexandria via LeMat-Bulk
Functional: PBE-GGA
Structure: optimized geometry

Summary:
Total moment, μB per cell: 0.0

a = 5.2972 Å, b = 5.2972 Å, c = 5.2972 Å
α = 138.31°, β = 138.31°, γ = 60.43°
Last column: nearest neighbours and their distance in Å.
Element x y z (fractional)
Se 0.0000 0.0000 0.0000  12 W 2.67-2.97
W 0.2500 0.7500 0.5000  8 W 2.67-2.97, 4 Se 2.97
W 0.5000 0.5000 0.0000  4 Se 2.67, 8 W 2.97
W 0.7500 0.2500 0.5000  8 W 2.67-2.97, 4 Se 2.97

## ii
Compound: W3Se
Source: Alexandria via LeMat-Bulk
Functional: PBE-GGA
Structure: optimized geometry

Summary:
Total moment, μB per cell: 0.0

a = 3.0742 Å, b = 3.0742 Å, c = 8.0415 Å
α = 90.00°, β = 90.00°, γ = 120.00°
Last column: nearest neighbours and their distance in Å.
Element x y z (fractional)
W 0.6667 0.3333 0.2340  3 Se 2.59, 3 W 2.78
W 0.0000 0.0000 0.5000  12 W 2.78-3.07
W 0.6667 0.3333 0.7660  3 Se 2.59, 3 W 2.78
Se 0.0000 0.0000 0.0000  6 W 2.59

The structure with the least stability is i.

## i
Compound: W3Se
Source: Alexandria via LeMat-Bulk
Functional: PBE-GGA
Structure: optimized geometry

Summary:
Total moment, μB per cell: 0.0

a = 4.0429 Å, b = 4.0429 Å, c = 4.0429 Å
α = 90.00°, β = 90.00°, γ = 90.00°
Last column: nearest neighbours and their distance in Å.
Element x y z (fractional)
Se 0.0000 0.0000 0.0000  12 W 2.86
W 0.0000 0.5000 0.5000  8 W 2.86, 4 Se 2.86
W 0.5000 0.5000 0.0000  8 W 2.86, 4 Se 2.86
W 0.5000 0.0000 0.5000  8 W 2.86, 4 Se 2.86

## ii
Compound: W3Se
Source: Alexandria via LeMat-Bulk
Functional: PBE-GGA
Structure: optimized geometry

Summary:
Total moment, μB per cell: 0.0

a = 3.1152 Å, b = 3.1152 Å, c = 6.7020 Å
α = 90.00°, β = 90.00°, γ = 90.00°
Last column: nearest neighbours and their distance in Å.
Element x y z (fractional)
W 0.5000 0.5000 0.2556  4 W 2.74, 4 Se 2.79
W 0.5000 0.5000 0.7444  4 W 2.74, 4 Se 2.79
W 0.0000 0.0000 0.5000  8 W 2.74
Se 0.0000 0.0000 0.0000  8 W 2.79, 4 Se 3.12

The structure with the least stability is i.

## i
Compound: W3Se
Source: Alexandria via LeMat-Bulk
Functional: PBE-GGA
Structure: optimized geometry

Summary:
Total moment, μB per cell: 0.0

a = 5.3549 Å, b = 5.3549 Å, c = 5.3549 Å
α = 146.13°, β = 130.83°, γ = 61.04°
Last column: nearest neighbours and their distance in Å.
Element x y z (fractional)
W 0.0000 0.5000 0.5000  4 Se 2.72, 4 W 2.82
W 0.7447 0.7447 0.0000  6 W 2.72-2.82, 2 Se 2.74
W 0.2553 0.2553 0.0000  6 W 2.72-2.82, 2 Se 2.74
Se 0.5000 0.0000 0.5000  8 W 2.72-2.74

## ii
Compound: W3Se
Source: Alexandria via LeMat-Bulk
Functional: PBE-GGA
Structure: optimized geometry

Summary:
Total moment, μB per cell: 0.0

a = 5.5569 Å, b = 5.5569 Å, c = 9.8425 Å
α = 90.00°, β = 90.00°, γ = 120.00°
Last column: nearest neighbours and their distance in Å.
Element x y z (fractional)
W 0.5000 0.0000 0.0000  4 Se 2.78-2.94, 8 W 2.78-2.93
W 0.8290 0.6579 0.2500  8 W 2.71-2.93, 4 Se 2.78-2.96
W 0.1710 0.8290 0.7500  8 W 2.71-2.93, 4 Se 2.78-2.96
W 0.5000 0.5000 0.5000  8 W 2.78-2.93, 4 Se 2.78-2.94
W 0.8290 0.1710 0.2500  8 W 2.71-2.93, 4 Se 2.78-2.96
W 0.0000 0.5000 0.5000  8 W 2.78-2.93, 4 Se 2.78-2.94
W 0.0000 0.5000 0.0000  8 W 2.78-2.93, 4 Se 2.78-2.94
W 0.5000 0.0000 0.5000  4 Se 2.78-2.94, 8 W 2.78-2.93
W 0.1710 0.3421 0.7500  8 W 2.71-2.93, 4 Se 2.78-2.96
W 0.6579 0.8290 0.7500  8 W 2.71-2.93, 4 Se 2.78-2.96
W 0.5000 0.5000 0.0000  8 W 2.78-2.93, 4 Se 2.78-2.94
W 0.3421 0.1710 0.2500  8 W 2.71-2.93, 4 Se 2.78-2.96
Se 0.6667 0.3333 0.7500  12 W 2.78-2.94
Se 0.3333 0.6667 0.2500  12 W 2.78-2.94
Se 0.0000 0.0000 0.5000  12 W 2.78-2.96
Se 0.0000 0.0000 0.0000  12 W 2.78-2.96

## iii
Compound: W3Se
Source: Alexandria via LeMat-Bulk
Functional: PBE-GGA
Structure: optimized geometry

Summary:
Total moment, μB per cell: 0.0

a = 6.0444 Å, b = 5.3542 Å, c = 7.9839 Å
α = 90.00°, β = 90.00°, γ = 90.00°
Last column: nearest neighbours and their distance in Å.
Element x y z (fractional)
Se 0.3871 0.1418 0.2500  8 W 2.55-2.68
Se 0.6129 0.8582 0.7500  8 W 2.55-2.68
Se 0.8871 0.3582 0.7500  8 W 2.55-2.68
Se 0.1129 0.6418 0.2500  8 W 2.55-2.68
W 0.4209 0.7514 0.0442  3 Se 2.55-2.68, 1 W 2.73
W 0.9209 0.7486 0.5442  3 Se 2.55-2.68, 1 W 2.73
W 0.0791 0.2514 0.4558  3 Se 2.55-2.68, 1 W 2.73
W 0.7142 0.4607 0.2500  2 Se 2.60-2.61, 6 W 2.71-2.87
W 0.7858 0.9607 0.2500  2 Se 2.60-2.61, 6 W 2.71-2.87
W 0.0791 0.2514 0.0442  3 Se 2.55-2.68, 1 W 2.73
W 0.4209 0.7514 0.4558  3 Se 2.55-2.68, 1 W 2.73
W 0.5791 0.2486 0.5442  3 Se 2.55-2.68, 1 W 2.73
W 0.2142 0.0393 0.7500  2 Se 2.60-2.61, 6 W 2.71-2.87
W 0.9209 0.7486 0.9558  3 Se 2.55-2.68, 1 W 2.73
W 0.5791 0.2486 0.9558  3 Se 2.55-2.68, 1 W 2.73
W 0.2858 0.5393 0.7500  2 Se 2.60-2.61, 6 W 2.71-2.87

The structure with the least stability is ii.

## i
Compound: WSe3
Source: Alexandria via LeMat-Bulk
Functional: PBE-GGA
Structure: optimized geometry

Summary:
Total moment, μB per cell: 1.1

a = 12.6523 Å, b = 12.6523 Å, c = 12.6523 Å
α = 162.37°, β = 162.37°, γ = 25.03°
Last column: nearest neighbours and their distance in Å.
Element x y z (fractional)
Se 0.5000 0.0000 0.5000  4 Se 2.74
Se 0.1377 0.1377 0.0000  4 W 2.98
Se 0.2500 0.7500 0.5000  4 W 2.52, 4 Se 2.74
Se 0.8623 0.8623 0.0000  4 W 2.98
Se 0.0000 0.5000 0.5000  4 Se 2.74
Se 0.7500 0.2500 0.5000  4 W 2.52, 4 Se 2.74
W 0.6848 0.6848 0.0000  4 Se 2.52
W 0.3152 0.3152 0.0000  4 Se 2.52

## ii
Compound: WSe3
Source: Alexandria via LeMat-Bulk
Functional: PBE-GGA
Structure: optimized geometry

Summary:
Total moment, μB per cell: 0.0

a = 10.1014 Å, b = 10.1014 Å, c = 3.0484 Å
α = 90.00°, β = 90.00°, γ = 120.00°
Last column: nearest neighbours and their distance in Å.
Element x y z (fractional)
Se 0.5617 0.7809 0.7500  2 W 2.51
Se 0.7809 0.2191 0.2500  2 W 2.51
Se 0.2191 0.4383 0.7500  2 W 2.51
Se 0.7809 0.5617 0.2500  2 W 2.51
Se 0.4383 0.2191 0.2500  2 W 2.51
Se 0.2191 0.7809 0.7500  2 W 2.51
W 0.3333 0.6667 0.2500  6 Se 2.51
W 0.6667 0.3333 0.7500  6 Se 2.51

## iii
Compound: WSe3
Source: Alexandria via LeMat-Bulk
Functional: PBE-GGA
Structure: optimized geometry

Summary:
Total moment, μB per cell: 0.0

a = 9.9904 Å, b = 9.9904 Å, c = 9.9904 Å
α = 18.44°, β = 18.44°, γ = 18.44°
Last column: nearest neighbours and their distance in Å.
Element x y z (fractional)
Se 0.5000 0.5000 0.5000  6 Se 3.20
Se 0.2734 0.2734 0.2734  3 W 2.56
Se 0.7266 0.7266 0.7266  3 W 2.56
W 0.0000 0.0000 0.0000  6 Se 2.56

## iv
Compound: WSe3
Source: Alexandria via LeMat-Bulk
Functional: PBE-GGA
Structure: optimized geometry

Summary:
Total moment, μB per cell: 0.0

a = 9.2158 Å, b = 9.2158 Å, c = 3.3091 Å
α = 90.00°, β = 90.00°, γ = 123.61°
Last column: nearest neighbours and their distance in Å.
Element x y z (fractional)
W 0.4376 0.5624 0.7500  2 Se 2.34, 2 W 2.62
W 0.5624 0.4376 0.2500  2 Se 2.34, 2 W 2.62
Se 0.0548 0.9452 0.7500  2 Se 2.43
Se 0.5947 0.8667 0.7500  1 W 2.34
Se 0.4053 0.1333 0.2500  1 W 2.34
Se 0.8667 0.5947 0.2500  1 W 2.34
Se 0.9452 0.0548 0.2500  2 Se 2.43
Se 0.1333 0.4053 0.7500  1 W 2.34

The structure with the least stability is i.

## i
Compound: WSe4
Source: Alexandria via LeMat-Bulk
Functional: PBE-GGA
Structure: optimized geometry

Summary:
Total moment, μB per cell: 3.1

a = 5.6920 Å, b = 5.6920 Å, c = 5.6920 Å
α = 122.08°, β = 122.08°, γ = 86.44°
Last column: nearest neighbours and their distance in Å.
Element x y z (fractional)
Se 0.2975 0.2975 0.0000  1 W 2.47
Se 0.7500 0.2500 0.5000  4 Se 2.78
Se 0.2500 0.7500 0.5000  4 Se 2.78
Se 0.7025 0.7025 0.0000  1 W 2.47
W 0.0000 0.0000 0.0000  2 Se 2.47

## ii
Compound: WSe4
Source: Alexandria via LeMat-Bulk
Functional: PBE-GGA
Structure: optimized geometry

Summary:
Total moment, μB per cell: 0.0

a = 4.9118 Å, b = 4.9118 Å, c = 4.9118 Å
α = 90.00°, β = 90.00°, γ = 90.00°
Last column: nearest neighbours and their distance in Å.
Element x y z (fractional)
Se 0.0000 0.0000 0.0000  12 Se 3.47
Se 0.5000 0.0000 0.5000  2 W 2.46
Se 0.5000 0.5000 0.0000  2 W 2.46
Se 0.0000 0.5000 0.5000  2 W 2.46
W 0.5000 0.5000 0.5000  6 Se 2.46

The structure with the least stability is i.